Entry 1:
68
Lattice="12.873 0.000 0.000 0.000 12.873 0.000 -6.436 -6.436 12.881" Properties=species:S:1:pos:R:3 comment="Ir2Se9Br6 PBE-GGA optimized geometry" volume_a3_per_fu=533.6 e_form_raw_ev_per_atom=-0.23 space_group=I4_1/a pbc="T T T"
Br 9.182 1.326 4.290
Br 11.265 10.351 0.880
Br -3.915 4.828 12.002
Br 3.915 -4.828 12.002
Br -2.964 -1.702 11.498
Br -3.473 1.702 7.823
Br -1.608 3.915 5.561
Br -2.522 8.044 7.320
Br 4.734 2.964 5.058
Br -1.326 2.746 10.731
Br 1.326 -2.746 10.731
Br 2.964 1.702 11.498
Br 9.182 7.762 2.150
Br 2.522 4.828 7.320
Br 7.762 -2.746 8.591
Br 3.473 -1.702 7.823
Br 8.138 3.473 1.383
Br 1.608 8.958 5.561
Br 4.734 9.400 1.383
Br 5.111 2.746 8.591
Br 3.691 5.111 2.150
Br 8.138 9.909 5.058
Br 1.608 2.522 0.880
Br 3.691 -1.326 4.290
Se 6.435 -1.788 11.776
Se 1.192 6.841 10.399
Se -0.405 7.629 2.483
Se -2.117 -4.636 10.803
Se 8.225 6.435 5.336
Se -1.192 6.031 10.399
Se 7.629 6.841 8.923
Se 0.405 5.244 2.483
Se 4.319 8.237 8.519
Se 0.000 0.000 9.138
Se 6.438 1.788 11.776
Se -1.801 -2.117 4.363
Se 8.225 -0.002 1.105
Se 6.436 0.000 2.698
Se 2.117 4.636 10.803
Se 0.002 1.788 7.546
Se -0.002 -1.788 7.546
Se 1.801 8.553 2.078
Se 11.072 4.319 2.078
Se 7.383 4.288 6.467
Se -2.148 -0.947 6.414
Se -0.947 -4.288 12.854
Se 4.648 0.002 1.105
Se 2.148 0.947 6.414
Se 5.489 8.584 6.467
Se 6.436 6.436 3.743
Se 6.436 0.000 10.183
Se 1.801 2.117 4.363
Se 5.244 6.031 8.923
Se 0.947 4.288 12.854
Se 8.553 4.636 8.519
Se 0.405 -1.192 3.958
Se 10.725 5.489 0.027
Se -0.405 1.192 3.958
Se 2.148 7.383 0.027
Se 4.648 6.438 5.336
Ir 1.383 -4.681 12.394
Ir 7.820 8.192 6.927
Ir 11.117 7.820 0.487
Ir -1.755 1.383 5.954
Ir 1.755 -1.383 5.954
Ir 5.053 4.681 6.927
Ir -1.383 4.681 12.394
Ir 1.755 5.053 0.487

Entry 2:
5
Lattice="-3.604 -0.857 -3.838 -1.738 -4.322 2.597 -3.527 3.005 2.641" Properties=species:S:1:pos:R:3 comment="IrSeBr3 PBE-GGA optimized geometry" volume_a3_per_fu=151.7 e_form_raw_ev_per_atom=1.22 space_group=Pm-3m pbc="T T T"
Br -1.802 -0.429 -1.919
Br -0.869 -2.161 1.299
Br -1.764 1.503 1.320
Se 0.000 0.000 0.000
Ir -4.434 -1.087 0.700

Entry 3:
4
Lattice="4.606 0.000 0.000 2.303 3.989 0.000 2.303 1.330 3.761" Properties=species:S:1:pos:R:3 comment="Ir2SeBr PBE-GGA optimized geometry" volume_a3_per_fu=69.1 e_form_raw_ev_per_atom=1.14 space_group=F-43m pbc="T T T"
Ir 2.303 1.330 0.940
Ir 0.000 0.000 0.000
Se 6.910 3.989 2.821
Br 4.606 2.660 1.881

Entry 4:
4
Lattice="-2.942 -0.296 -0.375 1.401 -0.805 2.504 -1.432 9.397 3.821" Properties=species:S:1:pos:R:3 comment="Ir2SeBr PBE-GGA optimized geometry" volume_a3_per_fu=76.4 e_form_raw_ev_per_atom=0.63 space_group=Cmm2 pbc="T T T"
Br -1.917 6.970 4.122
Ir -0.026 0.171 0.070
Ir -1.109 1.675 1.969
Se -0.637 4.179 1.699

Entry 5:
3
Lattice="4.443 0.000 0.000 2.221 3.847 0.000 2.221 1.282 3.627" Properties=species:S:1:pos:R:3 comment="IrSeBr PBE-GGA optimized geometry" volume_a3_per_fu=62.0 e_form_raw_ev_per_atom=0.43 space_group=F-43m pbc="T T T"
Ir 6.664 3.847 2.721
Se 0.000 0.000 0.000
Br 4.443 2.565 1.814

Entry 6:
4
Lattice="-0.862 -2.212 -2.560 0.556 -3.368 2.722 -4.195 0.264 1.184" Properties=species:S:1:pos:R:3 comment="Ir2SeBr PBE-GGA optimized geometry" volume_a3_per_fu=66.6 e_form_raw_ev_per_atom=0.99 space_group=P4/mmm pbc="T T T"
Se -0.153 -2.790 0.081
Br -2.528 -0.974 -0.688
Ir 0.000 0.000 0.000
Ir -1.819 -1.552 1.953

Entry 7:
4
Lattice="4.682 0.010 0.000 -0.625 4.640 0.000 0.000 0.000 3.068" Properties=species:S:1:pos:R:3 comment="Ir2SeBr PBE-GGA optimized geometry" volume_a3_per_fu=66.7 e_form_raw_ev_per_atom=0.99 space_group=Cmmm pbc="T T T"
Se 2.341 0.005 1.534
Br -0.313 2.320 1.534
Ir 0.000 0.000 0.000
Ir 2.028 2.325 0.000

Entry 8:
4
Lattice="-2.088 -2.837 0.684 2.807 -2.283 -0.902 2.328 -0.101 6.683" Properties=species:S:1:pos:R:3 comment="Ir2SeBr PBE-GGA optimized geometry" volume_a3_per_fu=94.7 e_form_raw_ev_per_atom=0.25 space_group=Pm pbc="T T T"
Ir 2.379 -1.789 -0.160
Ir 0.166 -2.060 1.374
Se 2.262 -1.146 2.151
Br 3.615 -3.702 5.091